# Li2Nb4O11

Li2Nb4O11 at its PBEsol-relaxed geometry (SCAN, Alexandria via LeMat-Bulk). Values from VASP.

The structure in Quantum ESPRESSO input format:
```
&SYSTEM
  ibrav = 0, nat = 34, ntyp = 3
/
ATOMIC_SPECIES
Li 6.94 Li.upf
Nb 92.91 Nb.upf
O 16.00 O.upf
CELL_PARAMETERS angstrom
6.209 0.000 0.000
3.105 5.475 -0.005
3.105 1.818 12.269
ATOMIC_POSITIONS crystal
Li 0.352 0.849 0.940
Li 0.141 0.651 0.560
Li 0.859 0.349 0.440
Li 0.648 0.151 0.060
Nb 0.606 0.393 0.251
Nb 0.750 0.893 0.751
Nb 0.500 0.000 0.500
Nb 0.885 0.750 0.250
Nb 0.115 0.250 0.750
Nb 0.250 0.107 0.249
Nb 0.000 0.500 0.000
Nb 0.394 0.607 0.749
O 0.013 0.988 0.249
O 0.751 0.488 0.749
O 0.597 0.254 0.407
O 0.741 0.408 0.094
O 0.909 0.406 0.280
O 0.742 0.754 0.907
O 0.909 0.756 0.093
O 0.757 0.908 0.594
O 0.405 0.906 0.780
O 0.504 0.750 0.250
O 0.758 0.744 0.407
O 0.242 0.256 0.593
O 0.496 0.250 0.750
O 0.595 0.094 0.220
O 0.243 0.092 0.406
O 0.091 0.244 0.907
O 0.258 0.246 0.093
O 0.091 0.594 0.720
O 0.259 0.592 0.906
O 0.403 0.746 0.593
O 0.249 0.512 0.251
O 0.987 0.012 0.751
```

**Volume**: 12.3 Å³/atom
**ΔE_f (raw)**: -45.4 eV/f.u.
**Space group**: No. 15

=====

# YCrReSe2

YCrReSe2 at its PBEsol-relaxed geometry (SCAN, Alexandria via LeMat-Bulk). Values from VASP.

The structure in Quantum ESPRESSO input format:
```
&SYSTEM
  ibrav = 0, nat = 5, ntyp = 4
/
ATOMIC_SPECIES
Y 88.91 Y.upf
Re 186.21 Re.upf
Se 78.96 Se.upf
Cr 52.00 Cr.upf
CELL_PARAMETERS angstrom
5.237 0.000 0.000
0.000 5.312 0.000
0.000 0.000 5.312
ATOMIC_POSITIONS crystal
Y 0.000 0.000 0.000
Re 0.500 0.000 0.000
Se 0.000 0.000 0.500
Se 0.000 0.500 0.000
Cr 0.500 0.500 0.500
```

**Volume**: 29.6 Å³/atom
**ΔE_f (raw)**: 5.7 eV/f.u.
**Space group**: No. 123

=====

# TiPdS2Cl

TiPdS2Cl at its PBEsol-relaxed geometry (SCAN, Alexandria via LeMat-Bulk). Values from VASP.

The structure in Quantum ESPRESSO input format:
```
&SYSTEM
  ibrav = 0, nat = 5, ntyp = 4
/
ATOMIC_SPECIES
S 32.06 S.upf
Ti 47.87 Ti.upf
Pd 106.42 Pd.upf
Cl 35.45 Cl.upf
CELL_PARAMETERS angstrom
4.549 0.000 0.000
0.000 4.651 0.000
0.000 0.000 4.651
ATOMIC_POSITIONS crystal
S 0.000 0.000 0.500
S 0.000 0.500 0.000
Ti 0.500 0.500 0.500
Pd 0.000 0.000 0.000
Cl 0.500 0.000 0.000
```

**Volume**: 19.7 Å³/atom
**ΔE_f (raw)**: -0.2 eV/f.u.
**Space group**: No. 123

=====

# CaBi2S

CaBi2S at its PBEsol-relaxed geometry (SCAN, Alexandria via LeMat-Bulk). Values from VASP.

The structure in Quantum ESPRESSO input format:
```
&SYSTEM
  ibrav = 0, nat = 8, ntyp = 3
/
ATOMIC_SPECIES
S 32.06 S.upf
Ca 40.08 Ca.upf
Bi 208.98 Bi.upf
CELL_PARAMETERS angstrom
-1.692 0.287 -3.917
-3.327 -2.371 1.264
-3.650 11.513 4.755
ATOMIC_POSITIONS crystal
S 0.750 0.250 0.500
S 0.500 0.500 0.000
Ca 0.250 0.750 0.500
Ca 0.000 0.000 0.000
Bi 0.879 0.375 0.250
Bi 0.371 0.875 0.250
Bi 0.625 0.629 0.750
Bi 0.125 0.121 0.750
```

**Volume**: 28.9 Å³/atom
**ΔE_f (raw)**: -2.6 eV/f.u.
**Space group**: No. 122

=====

# Ca2AlCd

Ca2AlCd at its PBEsol-relaxed geometry (SCAN, Alexandria via LeMat-Bulk). Values from VASP.

The structure in Quantum ESPRESSO input format:
```
&SYSTEM
  ibrav = 0, nat = 4, ntyp = 3
/
ATOMIC_SPECIES
Ca 40.08 Ca.upf
Al 26.98 Al.upf
Cd 112.41 Cd.upf
CELL_PARAMETERS angstrom
3.556 0.000 0.000
0.000 5.328 0.000
-1.778 -2.664 5.508
ATOMIC_POSITIONS crystal
Ca 0.025 0.025 0.050
Ca 0.227 0.727 0.454
Al 0.777 0.277 0.554
Cd 0.471 0.471 0.942
```

**Calculated formation energy**: -0.25 eV/atom
**Volume**: 26.1 Å³/atom
**Space group**: No. 44

=====

# K2ZrF6

K2ZrF6 at its PBEsol-relaxed geometry (SCAN, Alexandria via LeMat-Bulk). Values from VASP.

The structure in Quantum ESPRESSO input format:
```
&SYSTEM
  ibrav = 0, nat = 18, ntyp = 3
/
ATOMIC_SPECIES
F 19.00 F.upf
K 39.10 K.upf
Zr 91.22 Zr.upf
CELL_PARAMETERS angstrom
-6.291 1.145 1.312
-4.628 -3.876 -2.570
0.457 -4.157 5.521
ATOMIC_POSITIONS crystal
F 0.307 0.969 0.214
F 0.724 0.969 0.286
F 0.693 0.031 0.786
F 0.276 0.031 0.714
F 0.999 0.385 0.277
F 0.616 0.385 0.223
F 0.001 0.615 0.723
F 0.384 0.615 0.777
F 0.863 0.199 0.546
F 0.939 0.199 0.954
F 0.137 0.801 0.454
F 0.061 0.801 0.046
K 0.679 0.685 0.003
K 0.636 0.685 0.497
K 0.321 0.315 0.997
K 0.364 0.315 0.503
Zr 0.953 0.093 0.250
Zr 0.047 0.907 0.750
```

**Volume**: 14.3 Å³/atom
**ΔE_f (raw)**: -32.9 eV/f.u.
**Space group**: No. 15